# 1
Computed, not measured: CsHfNO after structural relaxation at the PBE level of DFT.

Structure (extended XYZ):
```
8
Lattice="-0.2504 2.7001 -2.2350 -5.1055 2.3281 3.3848 4.6589 3.9818 4.2885" Properties=species:S:1:pos:R:3 pbc="T T T"
Hf 0.5872 1.9651 -0.4542
Cs 3.1980 2.7419 2.9542
Cs -1.1050 2.4100 3.0354
N -3.7483 3.4814 4.6260
Hf 1.2591 5.8852 4.2065
O -1.4048 1.9480 -0.2517
N 0.7592 3.9880 4.7329
O 0.6794 7.0751 5.7090
```

## Properties
theoretical density	6.582	Mg/m³
ΔE to the lowest computed polymorph	0.138	eV per atom
space group	Pmc2_1
size of the total moment	0.00	μB per formula unit

# 2
Computed, not measured: Ta2Ni after structural relaxation at the PBE level of DFT.

Structure (extended XYZ):
```
30
Lattice="9.6173 0.0000 0.0000 0.0000 9.6173 0.0000 0.0000 0.0000 5.1842" Properties=species:S:1:pos:R:3 pbc="T T T"
Ta 3.7834 3.7834 0.0000
Ta 5.8339 5.8339 0.0000
Ta 2.6331 9.0191 0.0000
Ta 6.9842 0.5983 0.0000
Ni 4.8087 4.8087 2.5921
Ni 9.2594 3.5461 2.5921
Ni 1.2626 4.4508 0.0000
Ni 3.5461 9.2594 2.5921
Ni 4.4508 1.2626 0.0000
Ta 3.0611 6.5562 1.2849
Ta 3.0611 6.5562 3.8993
Ta 7.4417 5.4069 2.5921
Ta 7.8698 7.8698 1.3072
Ta 8.5921 1.0253 2.5921
Ta 9.0191 2.6331 0.0000
Ta 5.4069 7.4417 2.5921
Ni 0.3579 6.0712 2.5921
Ta 1.7476 1.7476 1.3072
Ni 5.1665 8.3547 0.0000
Ta 6.5562 3.0611 3.8993
Ta 2.1756 4.2104 2.5921
Ni 0.0000 0.0000 0.0000
Ta 7.8698 7.8698 3.8770
Ta 6.5562 3.0611 1.2849
Ta 1.7476 1.7476 3.8770
Ta 0.5983 6.9842 0.0000
Ta 4.2104 2.1756 2.5921
Ni 8.3547 5.1665 0.0000
Ni 6.0712 0.3579 2.5921
Ta 1.0253 8.5921 2.5921
```

## Properties
theoretical density	14.565	Mg/m³
space group	P4_2/mnm
total DFT energy (no corrections)	-9.79	eV/atom
size of the total moment	0.00	μB per formula unit